This record from the Alexandria database describes crystalline LiCdIn3 at its relaxed geometry. The functional is PBE.

Properties
Formation energy   -0.066 eV per atom

Structure (CIF):
```
data_LiCdIn3
_space_group_name_H-M_alt 'P 1 21/c 1'
_space_group_IT_number 14
_cell_length_a 4.8892
_cell_length_b 8.2153
_cell_length_c 13.0237
_cell_angle_alpha 90.00
_cell_angle_beta 112.00
_cell_angle_gamma 90.00
loop_
_space_group_symop_operation_xyz
'x,y,z'
'-x,-y,-z'
'-x,y+1/2,-z+1/2'
'x,-y+1/2,z+1/2'
loop_
_atom_site_label
_atom_site_fract_x
_atom_site_fract_y
_atom_site_fract_z
_atom_site_occupancy
Li1 0.1790 0.2471 0.4287 1
Cd1 0.4390 0.2005 0.1892 1
In1 0.0215 0.5507 0.7712 1
In2 0.2207 0.6042 0.4707 1
In3 0.3239 0.5524 0.0741 1
```